A geometry-optimized HgI3N structure, computed with PBE.

abc: 5.949 5.949 5.949
angles: 90.00 90.00 90.00
Positions (direct):
Hg: 0.000 0.000 0.000
I: 0.000 0.000 0.500
I: 0.000 0.500 0.000
I: 0.500 0.000 0.000
N: 0.500 0.500 0.500

Results
**Crystal system**: cubic
**ΔE to the lowest computed polymorph**: 0.565 eV per atom
**Formation energy without anion corrections**: 1107 meV/atom